No. 1
6
Lattice="5.2097 0.0000 0.0000 0.0000 4.2853 0.4587 0.0000 -0.5753 5.4289" Properties=species:S:1:pos:R:3 comment="SrHO, relaxed, DFT PBE" energy_ev_per_atom=-4.860 magnetic_moment_mub_per_cell=0.00 pbc="T T T"
H 3.9073 3.0563 1.6727
H 1.3024 0.6537 4.2149
O 1.3024 0.5349 5.2079
Sr 3.9073 0.5941 4.5928
Sr 1.3024 3.1159 1.2947
O 3.9073 3.1751 0.6797



No. 2
10
Lattice="5.5935 0.0000 0.0000 0.0000 5.0235 0.6189 0.0000 -0.8875 6.9705" Properties=species:S:1:pos:R:3 comment="AcLaNiN2, relaxed, DFT PBE" formation_energy_uncorrected_mev_per_atom=-754 energy_ev_per_atom=-7.048 magnetic_moment_mub_per_cell=0.00 pbc="T T T"
Ac 2.8024 -0.6656 5.2279
Ni 0.0000 -0.4437 3.4853
Ni 0.0000 0.0000 0.0000
N 1.3720 3.2799 3.9424
N 4.2215 2.8362 7.4277
N 4.2215 0.8562 3.6470
N 1.3720 1.2999 0.1617
Ac 2.7911 -0.2219 1.7426
La 0.0094 1.8462 5.5374
La 5.5840 2.2899 2.0521



No. 3
5
Lattice="3.8237 0.0000 0.0000 0.0000 3.8237 0.0000 0.0000 0.0000 4.2821" Properties=species:S:1:pos:R:3 comment="CaGaN2F, relaxed, DFT PBE" formation_energy_uncorrected_mev_per_atom=-654 energy_ev_per_atom=-5.364 magnetic_moment_mub_per_cell=0.00 pbc="T T T"
N 1.9118 0.0000 0.0000
Ca 1.9118 1.9118 2.1411
Ga 0.0000 0.0000 0.0000
N 0.0000 1.9118 0.0000
F 0.0000 0.0000 2.1411



No. 4
3
Lattice="3.2823 0.0000 0.0000 0.0000 3.2823 0.0000 -1.6411 -1.6411 7.2014" Properties=species:S:1:pos:R:3 comment="ThZrCd, relaxed, DFT PBE" formation_enthalpy_0k_mev_per_atom=-32 energy_ev_per_atom=-5.660 magnetic_moment_mub_per_cell=0.00 pbc="T T T"
Cd 0.0000 0.0000 4.6477
Th 0.0000 0.0000 0.0359
Zr 1.6411 1.6411 2.5178



No. 5
16
Lattice="6.9290 0.0000 0.0000 0.0000 3.6485 0.0000 0.0000 0.0000 15.6891" Properties=species:S:1:pos:R:3 comment="LiGaS2, relaxed, DFT PBE" formation_energy_uncorrected_mev_per_atom=-901 energy_ev_per_atom=-4.200 magnetic_moment_mub_per_cell=0.00 pbc="T T T"
Li 1.6316 2.7364 11.8748
Li 1.8329 0.9121 4.0303
S 5.4444 0.9121 7.5217
Li 5.0961 2.7364 11.6588
S 3.3794 0.9121 12.2841
S 1.4846 2.7364 8.1674
Li 5.2974 0.9121 3.8143
S 1.9799 0.9121 0.3228
Ga 6.6023 2.7364 6.5869
Ga 3.1378 2.7364 1.2576
Ga 0.3267 0.9121 9.1022
S 3.5496 2.7364 3.4050
S 0.0851 2.7364 4.4395
S 6.8439 0.9121 11.2496
S 4.9491 2.7364 15.3663
Ga 3.7912 0.9121 14.4315



No. 6
11
Lattice="-5.3240 0.2581 -0.4150 -0.3862 -4.1020 -3.4070 -0.9257 -3.6516 3.7937" Properties=species:S:1:pos:R:3 comment="Cu8Ni3, relaxed, DFT PBE" formation_enthalpy_0k_mev_per_atom=529 energy_ev_per_atom=-4.027 magnetic_moment_mub_per_cell=0.00 pbc="T T T"
Ni -2.8551 -1.9219 -1.9110
Cu -4.9057 -3.2688 2.0902
Cu -4.5714 -3.5480 -2.3737
Cu -4.7911 -1.5237 -0.2636
Cu -2.5763 -2.9101 -0.0110
Cu -1.8448 -5.9718 0.2353
Cu -2.0645 -3.9475 2.3454
Ni -0.6560 -3.8768 0.1934
Cu -4.0595 -4.5854 -0.0173
Ni -3.1248 -1.6967 1.6894
Cu -1.7301 -4.2267 -2.1185



No. 7
16
Lattice="-3.0944 5.3305 -0.7328 -3.2940 -1.9700 -0.4206 0.9804 -4.3318 12.6117" Properties=species:S:1:pos:R:3 comment="Li2SiS, relaxed, DFT PBE" formation_energy_uncorrected_mev_per_atom=-716 energy_ev_per_atom=-4.060 magnetic_moment_mub_per_cell=0.00 pbc="T T T"
Li -2.2559 -1.1580 5.3689
S -2.4805 -2.0454 11.2844
Si -4.1585 2.5089 3.0946
Li -0.2508 -0.2999 3.3684
Si -1.8251 2.3434 3.3173
S -2.0628 -1.9790 7.7025
Si -2.9819 -0.8075 9.4129
Li -1.0663 0.1740 7.5358
Li -3.2035 1.3550 1.0196
S -0.9060 1.1719 1.6069
Si -2.0214 1.3280 9.6107
Li -3.8437 1.4653 5.5170
Li -0.1187 -2.3389 11.8850
S -1.3237 1.1055 5.1888
Li -1.4076 -3.4508 9.4640
Li -2.6869 4.6162 -0.5786